The following is a DFT calculation (GGA+U) of an optimized crystal structure of Fe2P4PbO14.

## Properties
As for the symmetry: P-1. Its raw total energy is -7.055 eV/atom. Its crystal system is triclinic.

abc: 4.884 7.181 8.036
angles: 89.39 92.82 106.09
Fractional positions:
P  0.614  0.227  0.705
P  0.978  0.385  0.249
P  0.386  0.773  0.295
P  0.022  0.615  0.751
O  0.917  0.206  0.356
O  0.083  0.794  0.644
O  0.291  0.555  0.797
O  0.480  0.759  0.115
O  0.131  0.350  0.091
O  0.709  0.445  0.203
O  0.520  0.241  0.885
O  0.201  0.559  0.350
O  0.815  0.094  0.707
O  0.869  0.650  0.909
O  0.373  0.174  0.574
O  0.627  0.826  0.426
O  0.799  0.441  0.650
O  0.185  0.906  0.293
Pb  0.000  0.000  0.000
Fe  0.000  0.000  0.500
Fe  0.500  0.500  0.000